(1)
The following is a GGA-PBE calculation of a geometry-optimized KTeSe2Br structure, from Alexandria via LeMat-Bulk.

a b c (Å): 5.827 5.827 5.641
angles (deg): 90.00 90.00 90.00
Space group P4/mmm (No. 123)
Unique sites:
K 0.000 0.000 0.000 (multiplicity 1)
Te 0.500 0.500 0.500 (multiplicity 1)
Se 0.000 0.500 0.000 (multiplicity 2)
Br 0.000 0.000 0.500 (multiplicity 1)

Values from the calculation:
total moment = 1.7 μB per cell
uncorrected formation energy = 0.75 eV/atom
polymorph energy (0 for the lowest one) = 1164 meV/atom
E_tot = -9.1 eV per formula unit
mass density = 3.51 g/cm³

(2)
The following is a GGA-PBE calculation of a geometry-optimized DyLuAgPt structure, from Alexandria via LeMat-Bulk.

a b c (Å): 7.030 7.030 7.030
angles (deg): 90.00 90.00 90.00
Space group F-43m (No. 216)
Unique sites:
Dy 0.000 0.000 0.000 (multiplicity 4)
Lu 0.000 0.000 0.500 (multiplicity 4)
Ag 0.250 0.250 0.750 (multiplicity 4)
Pt 0.250 0.250 0.250 (multiplicity 4)

Values from the calculation:
total moment = 0.0 μB per cell
E_tot = -21.3 eV per formula unit
E_form = -3.256 eV per formula unit
mass density = 12.25 g/cm³

(3)
The following is a GGA-PBE calculation of a geometry-optimized RuPt7Rh4 structure, from Alexandria via LeMat-Bulk.

a b c (Å): 10.559 4.697 9.422
angles (deg): 90.00 120.93 90.00
Space group C2/m (No. 12)
Unique sites:
Ru 0.000 0.000 0.000 (multiplicity 2)
Pt 0.000 0.500 0.000 (multiplicity 2)
Pt 0.075 0.000 0.332 (multiplicity 4)
Pt 0.137 0.500 0.538 (multiplicity 4)
Pt 0.209 0.000 0.920 (multiplicity 4)
Rh 0.075 0.500 0.771 (multiplicity 4)
Rh 0.226 0.500 0.319 (multiplicity 4)

Values from the calculation:
total moment = 0.0 μB per cell
polymorph energy (0 for the lowest one) = 400 meV/atom
E_tot = -76.1 eV per formula unit
E_form = 4.830 eV per formula unit
mass density = 15.56 g/cm³

(4)
The following is a GGA-PBE calculation of a geometry-optimized MgGaSi structure, from Alexandria via LeMat-Bulk.

a b c (Å): 3.469 3.469 9.067
angles (deg): 90.00 90.00 90.00
Space group I4mm (No. 107)
Unique sites:
Mg 0.000 0.000 0.000 (multiplicity 2)
Ga 0.000 0.000 0.312 (multiplicity 2)
Si 0.000 0.000 0.681 (multiplicity 2)

Values from the calculation:
total moment = 0.0 μB per cell
uncorrected formation energy = 0.11 eV/atom
E_tot = -9.7 eV per formula unit
mass density = 3.72 g/cm³

(5)
The following is a GGA-PBE calculation of a geometry-optimized AcAlCd2Au5 structure, from Alexandria via LeMat-Bulk.

a b c (Å): 4.906 6.219 14.287
angles (deg): 90.00 90.00 90.00
Space group Immm (No. 71)
Unique sites:
Ac 0.000 0.000 0.000 (multiplicity 2)
Al 0.000 0.000 0.500 (multiplicity 2)
Cd 0.000 0.500 0.195 (multiplicity 4)
Au 0.000 0.271 0.364 (multiplicity 8)
Au 0.000 0.500 0.000 (multiplicity 2)

Values from the calculation:
total moment = 0.0 μB per cell
E_tot = -29.1 eV per formula unit
E_form = -3.053 eV per formula unit
mass density = 11.15 g/cm³

(6)
The following is a GGA-PBE calculation of a geometry-optimized Sr3Al5H12 structure, from Alexandria via LeMat-Bulk.

a b c (Å): 13.061 13.061 13.061
angles (deg): 90.00 90.00 90.00
Space group Ia-3d (No. 230)
Unique sites:
Sr 0.000 0.250 0.125 (multiplicity 24)
Al 0.000 0.000 0.000 (multiplicity 16)
Al 0.000 0.250 0.375 (multiplicity 24)
H 0.043 0.073 0.685 (multiplicity 96)

Values from the calculation:
total moment = 0.0 μB per cell
E_tot = -63.8 eV per formula unit
mass density = 2.44 g/cm³

(7)
The following is a GGA-PBE calculation of a geometry-optimized KY2Br2 structure, from Alexandria via LeMat-Bulk.

a b c (Å): 5.273 5.273 12.752
angles (deg): 90.00 90.00 90.00
Space group I4/mmm (No. 139)
Unique sites:
K 0.000 0.000 0.000 (multiplicity 2)
Y 0.000 0.000 0.372 (multiplicity 4)
Br 0.000 0.500 0.250 (multiplicity 4)

Values from the calculation:
total moment = 0.0 μB per cell
uncorrected formation energy = -0.55 eV/atom
E_tot = -20.1 eV per formula unit
mass density = 3.53 g/cm³

(8)
The following is a GGA-PBE calculation of a geometry-optimized CaV2Pd structure, from Alexandria via LeMat-Bulk.

a b c (Å): 4.177 4.177 19.684
angles (deg): 90.00 90.00 90.00
Space group I-42d (No. 122)
Unique sites:
Ca 0.000 0.000 0.000 (multiplicity 4)
V 0.020 0.750 0.625 (multiplicity 8)
Pd 0.000 0.000 0.500 (multiplicity 4)

Values from the calculation:
total moment = 0.0 μB per cell
polymorph energy (0 for the lowest one) = 0 meV/atom
E_tot = -23.1 eV per formula unit
E_form = 2.298 eV per formula unit
mass density = 4.80 g/cm³

(9)
The following is a GGA-PBE calculation of a geometry-optimized HfBeCl2 structure, from Alexandria via LeMat-Bulk.

a b c (Å): 5.528 5.528 9.722
angles (deg): 90.00 90.00 90.00
Space group I-42d (No. 122)
Unique sites:
Hf 0.000 0.000 0.000 (multiplicity 4)
Be 0.000 0.000 0.500 (multiplicity 4)
Cl 0.163 0.250 0.625 (multiplicity 8)

Values from the calculation:
total moment = 0.0 μB per cell
uncorrected formation energy = 0.20 eV/atom
polymorph energy (0 for the lowest one) = 583 meV/atom
E_tot = -16.6 eV per formula unit
mass density = 5.78 g/cm³

(10)
The following is a GGA-PBE calculation of a geometry-optimized Ti6Pd2O structure, from Alexandria via LeMat-Bulk.

a b c (Å): 5.409 5.571 10.456
angles (deg): 90.00 118.18 90.00
Space group P2_1/c (No. 14)
Unique sites:
Ti 0.130 0.003 0.245 (multiplicity 4)
Ti 0.194 0.679 0.023 (multiplicity 4)
Ti 0.358 0.194 0.026 (multiplicity 4)
Pd 0.354 0.085 0.752 (multiplicity 4)
O 0.000 0.000 0.000 (multiplicity 2)

Values from the calculation:
total moment = 0.0 μB per cell
uncorrected formation energy = -0.76 eV/atom
E_tot = -69.5 eV per formula unit
mass density = 6.17 g/cm³

(11)
The following is a GGA-PBE calculation of a geometry-optimized ScBe3S structure, from Alexandria via LeMat-Bulk.

a b c (Å): 4.151 4.151 4.151
angles (deg): 90.00 90.00 90.00
Space group Pm-3m (No. 221)
Unique sites:
Sc 0.000 0.000 0.000 (multiplicity 1)
Be 0.000 0.500 0.500 (multiplicity 3)
S 0.500 0.500 0.500 (multiplicity 1)

Values from the calculation:
total moment = 0.0 μB per cell
uncorrected formation energy = 0.52 eV/atom
polymorph energy (0 for the lowest one) = 0 meV/atom
E_tot = -19.0 eV per formula unit
mass density = 2.42 g/cm³

Copy entry 6 word for word.
The following is a GGA-PBE calculation of a geometry-optimized Sr3Al5H12 structure, from Alexandria via LeMat-Bulk.

a b c (Å): 13.061 13.061 13.061
angles (deg): 90.00 90.00 90.00
Space group Ia-3d (No. 230)
Unique sites:
Sr 0.000 0.250 0.125 (multiplicity 24)
Al 0.000 0.000 0.000 (multiplicity 16)
Al 0.000 0.250 0.375 (multiplicity 24)
H 0.043 0.073 0.685 (multiplicity 96)

Values from the calculation:
total moment = 0.0 μB per cell
E_tot = -63.8 eV per formula unit
mass density = 2.44 g/cm³

> Number 8 is which compound?

CaV2Pd

> Among the records above, which one has the lowest E_tot?

RuPt7Rh4